No. 1
Below is a crystal of KNa3In9 relaxed with PBEsol, with properties calculated at the meta-GGA SCAN level.

Summary:
D(E_F) ... 0.4 states/eV per cell
Magnetic moment ... 0.0 μB/f.u.
Final energy ... -25.0147 eV/atom
Formation enthalpy at 0 K ... -0.29 eV per atom

a b c (Å): 9.8803 16.4448 17.3439
angles (deg): 90.00 90.00 90.00
Space group Cmce (No. 64)
Unique sites:
K (0.0000, 0.0343, 0.1603) x8
Na (0.1916, 0.2321, 0.0891) x16
Na (0.2500, 0.1164, 0.7500) x8
In (0.0000, 0.1035, 0.6390) x8
In (0.0000, 0.1630, 0.4771) x8
In (0.0000, 0.1738, 0.9137) x8
In (0.0000, 0.2419, 0.7542) x8
In (0.1518, 0.0571, 0.3687) x16
In (0.2402, 0.0814, 0.9627) x16
In (0.2500, 0.1637, 0.2500) x8

---

No. 2
Below is a crystal of K3Na2InO4 relaxed with PBEsol, with properties calculated at the meta-GGA SCAN level.

Summary:
D(E_F) ... 0.0 states/eV per cell
Magnetic moment ... 0.1 μB/f.u.
Formation energy from raw total energies ... -1539 meV/atom
Final energy ... -10.7115 eV/atom

a b c (Å): 7.2504 9.6213 12.3280
angles (deg): 90.00 124.94 90.00
Space group P2_1/c (No. 14)
Unique sites:
K (0.0570, 0.2451, 0.1623) x4
K (0.2826, 0.0062, 0.5188) x4
K (0.4312, 0.6627, 0.6032) x4
Na (0.1819, 0.5678, 0.7230) x4
Na (0.2504, 0.1662, 0.9941) x4
In (0.2917, 0.6324, 0.2689) x4
O (0.0698, 0.7131, 0.0806) x4
O (0.1614, 0.0273, 0.8174) x4
O (0.3954, 0.7053, 0.9079) x4
O (0.4098, 0.0834, 0.2122) x4

---

No. 3
Below is a crystal of K2Na3InO4 relaxed with PBEsol, with properties calculated at the meta-GGA SCAN level.

Summary:
D(E_F) ... 0.0 states/eV per cell
Magnetic moment ... 0.1 μB/f.u.
Formation energy from raw total energies ... -1558 meV/atom
Final energy ... -10.3199 eV/atom

a b c (Å): 9.2120 9.4914 7.5628
angles (deg): 90.00 90.00 90.00
Space group Pnnm (No. 58)
Unique sites:
K (0.0000, 0.0000, 0.2439) x4
K (0.2316, 0.2321, 0.5000) x4
Na (0.0167, 0.6506, 0.2471) x8
Na (0.2363, 0.5731, 0.5000) x4
In (0.2296, 0.3709, 0.0000) x4
O (0.0592, 0.2208, 0.0000) x4
O (0.0655, 0.7767, 0.5000) x4
O (0.2009, 0.4843, 0.2313) x8

---

No. 4
Below is a crystal of K2NaInP2 relaxed with PBEsol, with properties calculated at the meta-GGA SCAN level.

Summary:
D(E_F) ... 0.0 states/eV per cell
Magnetic moment ... 0.0 μB/f.u.
Final energy ... -13.0637 eV/atom
Formation enthalpy at 0 K ... -0.55 eV per atom

a b c (Å): 6.5660 14.8312 6.5723
angles (deg): 90.00 90.00 90.00
Space group Ibam (No. 72)
Unique sites:
K (0.2393, 0.1768, 0.0000) x8
Na (0.0000, 0.0000, 0.2500) x4
In (0.0000, 0.5000, 0.2500) x4
P (0.2155, 0.3998, 0.0000) x8

---

No. 5
Below is a crystal of KNbIn3 relaxed with PBEsol, with properties calculated at the meta-GGA SCAN level.

Summary:
D(E_F) ... 3.9 states/eV per cell
Magnetic moment ... 0.0 μB/f.u.
Final energy ... -28.2053 eV/atom
Formation enthalpy at 0 K ... 0.12 eV per atom

a b c (Å): 5.4108 5.4108 5.4108
angles (deg): 90.00 90.00 90.00
Space group Pm-3m (No. 221)
Unique sites:
K (0.0000, 0.0000, 0.0000) x1
Nb (0.5000, 0.5000, 0.5000) x1
In (0.0000, 0.5000, 0.5000) x3

---

No. 6
Below is a crystal of KIn3Ni relaxed with PBEsol, with properties calculated at the meta-GGA SCAN level.

Summary:
D(E_F) ... 2.4 states/eV per cell
Magnetic moment ... 0.0 μB/f.u.
Final energy ... -25.0762 eV/atom
Formation enthalpy at 0 K ... -0.14 eV per atom

a b c (Å): 5.0021 5.0021 5.0021
angles (deg): 90.00 90.00 90.00
Space group Pm-3m (No. 221)
Unique sites:
K (0.0000, 0.0000, 0.0000) x1
In (0.0000, 0.5000, 0.5000) x3
Ni (0.5000, 0.5000, 0.5000) x1